Version one
Computed, not measured: a geometry-optimized CsFeCo structure at the PBE-GGA level of DFT.

Calculated values
D(E_F) (states/eV per cell): 3.38

Lattice parameters (Å, degrees): 6.3872 3.3767 3.3767 89.55 90.00 90.00
Last column: nearest neighbours and their distance in Å.
Fractional coordinates of all 3 atoms:
Cs 0.0000 0.0000 0.0000  4 Cs 3.38, 2 Fe 3.39, 2 Co 3.46
Fe 0.5000 0.2364 0.2364  4 Co 2.34-2.45
Co 0.5000 0.7250 0.7250  4 Fe 2.34-2.45

Version two
Computed, not measured: a geometry-optimized CsFeCo structure at the PBE-GGA level of DFT.

Calculated values
D(E_F) (states/eV per cell): 7.35

Lattice parameters (Å, degrees): 4.0964 4.0965 10.9110 89.51 89.64 81.10
Last column: nearest neighbours and their distance in Å.
Fractional coordinates of all 6 atoms:
Cs 0.2419 0.2439 0.2218  4 Co 3.46-3.87, 4 Fe 3.57-3.76
Cs 0.7581 0.7561 0.7782  4 Co 3.46-3.87, 4 Fe 3.57-3.76
Fe 0.2179 0.7817 0.5000  4 Co 2.16-2.29, 1 Fe 2.32
Fe 0.7821 0.2183 0.5000  4 Co 2.16-2.29, 1 Fe 2.32
Co 0.2880 0.2858 0.5757  4 Fe 2.16-2.29
Co 0.7120 0.7142 0.4243  4 Fe 2.16-2.29

Out of the structures above, which one is the most stable? Solution: version two.